{"formula": "MgGaIO2", "functional": "PBE", "state": "relaxed", "formation_energy_uncorrected_ev_per_atom": -0.63, "lattice": [[3.9231, 0.0000, 0.0000], [0.0000, 3.9231, 0.0000], [0.0000, 0.0000, 5.7458]], "species": ["O", "I", "O", "Ga", "Mg"], "fractional_positions": [[0.0000, 0.5000, 0.0000], [0.0000, 0.0000, 0.5000], [0.5000, 0.0000, 0.0000], [0.0000, 0.0000, 0.0000], [0.5000, 0.5000, 0.5000]]}

---

{"formula": "Ce6TcIr", "functional": "PBE", "state": "relaxed", "formation_enthalpy_0k_ev_per_atom": -0.03, "lattice": [[-3.7938, 3.7551, 3.3645], [-0.8930, -6.5438, -0.1967], [5.7440, 0.7949, 2.9198]], "species": ["Ce", "Tc", "Ir", "Ce", "Ce", "Ce", "Ce", "Ce"], "fractional_positions": [[0.5101, 0.2558, 0.0000], [0.0000, 0.5000, 0.0000], [0.0000, 0.0000, 0.0000], [0.7913, 0.5433, 0.5822], [0.7909, 0.0389, 0.5822], [0.2087, 0.4567, 0.4178], [0.4899, 0.7442, 0.0000], [0.2091, 0.9611, 0.4178]]}

---

{"formula": "SbTe", "functional": "PBE", "state": "relaxed", "formation_energy_uncorrected_ev_per_atom": 0.07, "lattice": [[-6.3861, 6.8143, -0.1923], [-7.6782, 4.5039, 2.8308], [1.4664, 2.6206, 2.6296]], "species": ["Te", "Te", "Sb", "Sb"], "fractional_positions": [[0.4851, 0.4851, 0.5150], [0.2649, 0.2649, 0.2350], [0.6993, 0.6993, 0.8007], [0.0507, 0.0507, 0.9493]]}

---

{"formula": "CeSnS2N", "functional": "PBE", "state": "relaxed", "formation_energy_uncorrected_ev_per_atom": -1.01, "lattice": [[-1.5307, -2.9520, 2.0120], [3.5633, -1.1050, 1.0896], [-0.9115, 8.1092, 11.2045]], "species": ["Sn", "N", "S", "S", "S", "Ce", "S", "N", "Sn", "Ce"], "fractional_positions": [[0.5000, 0.0000, 0.1294], [0.0000, 0.0000, 0.5000], [0.5000, 0.0000, 0.3076], [0.0000, 0.5000, 0.6924], [0.0000, 0.5000, 0.1016], [0.5000, 0.0000, 0.5860], [0.5000, 0.0000, 0.8984], [0.5000, 0.5000, 0.5000], [0.0000, 0.5000, 0.8706], [0.0000, 0.5000, 0.4140]]}